<A>
VASP calculation (PBE-GGA) on a relaxed Tb3Tm3In crystal.

abc: 5.524 9.313 9.315
angles: 120.03 90.00 90.00
Sites, in units of the cell vectors:
1 Tb 0.750 0.754 0.820
2 Tb 0.750 0.065 0.245
3 Tb 0.750 0.180 0.935
4 Tb 0.250 0.246 0.180
5 Tb 0.250 0.935 0.755
6 Tb 0.250 0.820 0.065
7 Tm 0.250 0.517 0.622
8 Tm 0.250 0.105 0.483
9 Tm 0.250 0.378 0.895
10 Tm 0.750 0.483 0.378
11 Tm 0.750 0.895 0.517
12 Tm 0.750 0.622 0.105
13 In 0.750 0.333 0.667
14 In 0.250 0.667 0.333

Calculated values
The value obtained for the volume is 415 Å³/cell. The size of the total moment is 0.000 μB/atom.



<B>
VASP calculation (PBE-GGA) on a relaxed Tb3Tm3In crystal.

abc: 5.160 13.220 12.607
angles: 90.00 90.00 90.00
Sites, in units of the cell vectors:
1 Tb 0.750 0.674 0.763
2 Tb 0.250 0.826 0.263
3 Tb 0.250 0.326 0.237
4 Tb 0.750 0.174 0.737
5 Tb 0.750 0.189 0.130
6 Tb 0.250 0.311 0.630
7 Tb 0.250 0.811 0.870
8 Tb 0.750 0.689 0.370
9 Tb 0.750 0.912 0.689
10 Tb 0.250 0.588 0.189
11 Tb 0.250 0.088 0.311
12 Tb 0.750 0.412 0.811
13 Tm 0.750 0.977 0.933
14 Tm 0.250 0.523 0.433
15 Tm 0.250 0.023 0.067
16 Tm 0.750 0.477 0.567
17 Tm 0.750 0.948 0.428
18 Tm 0.250 0.552 0.928
19 Tm 0.250 0.052 0.572
20 Tm 0.750 0.448 0.072
21 Tm 0.750 0.723 0.056
22 Tm 0.250 0.777 0.556
23 Tm 0.250 0.277 0.944
24 Tm 0.750 0.223 0.444
25 In 0.750 0.948 0.182
26 In 0.250 0.552 0.682
27 In 0.250 0.052 0.818
28 In 0.750 0.448 0.318

Calculated values
The value obtained for the volume is 860 Å³/cell. The size of the total moment is 0.000 μB/atom.



Which is most stable? The ranking, best first, is <A>, <B>.



<A>
VASP calculation (PBE-GGA) on a relaxed TbTm2In2 crystal.

abc: 4.544 4.544 14.812
angles: 98.82 98.82 90.00
Sites, in units of the cell vectors:
1 Tb 0.640 0.640 0.280
2 Tb 0.360 0.360 0.720
3 Tm 0.750 0.250 0.500
4 Tm 0.926 0.926 0.852
5 Tm 0.074 0.074 0.148
6 Tm 0.250 0.750 0.500
7 In 0.000 0.500 0.000
8 In 0.175 0.175 0.350
9 In 0.500 0.000 0.000
10 In 0.825 0.825 0.650

Calculated values
The value obtained for the volume is 299 Å³/cell. The size of the total moment is 0.000 μB/atom.



<B>
VASP calculation (PBE-GGA) on a relaxed TbTm2In2 crystal.

abc: 3.722 5.319 13.854
angles: 90.00 97.73 90.00
Sites, in units of the cell vectors:
1 Tb 0.852 0.750 0.702
2 Tb 0.148 0.250 0.298
3 Tm 0.048 0.750 0.096
4 Tm 0.952 0.250 0.904
5 Tm 0.238 0.750 0.475
6 Tm 0.762 0.250 0.525
7 In 0.643 0.750 0.288
8 In 0.357 0.250 0.712
9 In 0.451 0.750 0.902
10 In 0.549 0.250 0.098

Calculated values
The value obtained for the volume is 272 Å³/cell. The size of the total moment is 0.000 μB/atom.



Which is most stable? The ranking, best first, is <B>, <A>.



<A>
VASP calculation (PBE-GGA) on a relaxed Tb3TmIn4 crystal.

abc: 3.756 3.756 15.088
angles: 90.00 90.00 90.00
Sites, in units of the cell vectors:
1 Tm 0.500 0.500 0.000
2 Tb 0.500 0.500 0.247
3 Tb 0.500 0.500 0.500
4 Tb 0.500 0.500 0.753
5 In 0.000 0.000 0.880
6 In 0.000 0.000 0.120
7 In 0.000 0.000 0.373
8 In 0.000 0.000 0.627

Calculated values
The value obtained for the volume is 213 Å³/cell. The size of the total moment is 0.000 μB/atom.



<B>
VASP calculation (PBE-GGA) on a relaxed Tb3TmIn4 crystal.

abc: 3.451 6.832 10.415
angles: 109.17 99.54 90.00
Sites, in units of the cell vectors:
1 Tb 0.000 0.500 0.000
2 Tb 0.226 0.226 0.451
3 Tb 0.774 0.774 0.549
4 Tm 0.500 0.000 0.000
5 In 0.374 0.597 0.749
6 In 0.626 0.403 0.251
7 In 0.626 0.849 0.252
8 In 0.374 0.151 0.748

Calculated values
The value obtained for the volume is 228 Å³/cell. The size of the total moment is 0.000 μB/atom.



Which is most stable? The ranking, best first, is <A>, <B>.